# 1
! PBE AsOs2, optimized geometry; values from VASP
&SYSTEM
  ibrav = 0, nat = 12, ntyp = 2
/
ATOMIC_SPECIES
As 74.92 As.upf
Os 190.23 Os.upf
CELL_PARAMETERS angstrom
2.916 0.000 0.000
0.000 13.719 0.000
0.000 0.000 4.484
ATOMIC_POSITIONS crystal
As 0.000 0.208 0.250
As 0.000 0.792 0.750
As 0.500 0.292 0.750
As 0.500 0.708 0.250
Os 0.000 0.114 0.750
Os 0.000 0.449 0.750
Os 0.000 0.551 0.250
Os 0.000 0.886 0.250
Os 0.500 0.051 0.250
Os 0.500 0.386 0.250
Os 0.500 0.614 0.750
Os 0.500 0.949 0.750
! size of the total moment = 0.00 μB per formula unit
! energy of formation from the pure elements = 0.28 eV per atom

=====

# 2
! PBE As5Os, optimized geometry; values from VASP
&SYSTEM
  ibrav = 0, nat = 12, ntyp = 2
/
ATOMIC_SPECIES
As 74.92 As.upf
Os 190.23 Os.upf
CELL_PARAMETERS angstrom
12.502 0.000 0.000
0.000 3.083 0.000
-2.407 0.000 7.295
ATOMIC_POSITIONS crystal
As 0.000 0.000 0.000
As 0.029 0.000 0.694
As 0.222 0.500 0.442
As 0.289 0.500 0.883
As 0.357 0.000 0.346
As 0.500 0.500 0.000
As 0.529 0.500 0.694
As 0.722 0.000 0.442
As 0.789 0.000 0.883
As 0.857 0.500 0.346
Os 0.367 0.000 0.687
Os 0.867 0.500 0.687
! size of the total moment = 0.00 μB per formula unit
! energy of formation from the pure elements = 0.17 eV per atom

=====

# 3
! PBE As2Os, optimized geometry; values from VASP
&SYSTEM
  ibrav = 0, nat = 12, ntyp = 2
/
ATOMIC_SPECIES
As 74.92 As.upf
Os 190.23 Os.upf
CELL_PARAMETERS angstrom
5.981 0.000 0.000
0.000 5.981 0.000
0.000 0.000 5.981
ATOMIC_POSITIONS crystal
As 0.250 0.250 0.250
As 0.250 0.250 0.750
As 0.250 0.750 0.250
As 0.250 0.750 0.750
As 0.750 0.250 0.250
As 0.750 0.250 0.750
As 0.750 0.750 0.250
As 0.750 0.750 0.750
Os 0.000 0.000 0.000
Os 0.000 0.500 0.500
Os 0.500 0.000 0.500
Os 0.500 0.500 0.000
! size of the total moment = 0.00 μB per formula unit
! energy of formation from the pure elements = 0.09 eV per atom

=====

The records above give, respectively, uncorrected energy values of -8.76, -5.57, -6.76 eV/atom.